! Ce2Si3SnPt4, relaxed, DFT PBE; values from VASP
! Uncorrected energy = -6.610 eV/atom
&SYSTEM
  ibrav = 0, nat = 10, ntyp = 4
/
ATOMIC_SPECIES
Ce 140.12 Ce.upf
Si 28.09 Si.upf
Sn 118.71 Sn.upf
Pt 195.08 Pt.upf
ATOMIC_POSITIONS crystal
Ce 0.0000 0.5000 0.2381
Ce 0.5000 0.0000 0.7619
Si 0.0000 0.5000 0.8760
Si 0.5000 0.0000 0.1240
Si 0.5000 0.5000 0.5000
Sn 0.0000 0.0000 0.5000
Pt 0.0000 0.0000 0.0000
Pt 0.0000 0.5000 0.6466
Pt 0.5000 0.0000 0.3534
Pt 0.5000 0.5000 0.0000
CELL_PARAMETERS angstrom
4.2785 0.0000 0.0000
0.0000 4.2785 0.0000
0.0000 0.0000 10.3614

***

! NbAlSb, relaxed, DFT PBE; values from VASP
! Uncorrected energy = -6.043 eV/atom
&SYSTEM
  ibrav = 0, nat = 12, ntyp = 3
/
ATOMIC_SPECIES
Nb 92.91 Nb.upf
Al 26.98 Al.upf
Sb 121.76 Sb.upf
ATOMIC_POSITIONS crystal
Nb 0.1668 0.0241 0.2500
Nb 0.1668 0.4759 0.7500
Nb 0.8332 0.5241 0.2500
Nb 0.8332 0.9759 0.7500
Al 0.1423 0.7500 0.0000
Al 0.1423 0.7500 0.5000
Al 0.8577 0.2500 0.0000
Al 0.8577 0.2500 0.5000
Sb 0.3343 0.1314 0.7500
Sb 0.3343 0.3686 0.2500
Sb 0.6657 0.6314 0.7500
Sb 0.6657 0.8686 0.2500
CELL_PARAMETERS angstrom
5.2149 0.0000 0.0000
0.0000 8.5756 0.0000
0.0000 0.0000 5.4334

***

! BaTa3P, relaxed, DFT PBE; values from VASP
! Formation energy = 3201 meV/atom
! Energy above the lowest structure with this stoichiometry = 2525.0 meV/atom
&SYSTEM
  ibrav = 0, nat = 5, ntyp = 3
/
ATOMIC_SPECIES
Ba 137.33 Ba.upf
Ta 180.95 Ta.upf
P 30.97 P.upf
ATOMIC_POSITIONS crystal
Ba 0.0000 0.0000 0.0000
Ta 0.0000 0.0000 0.5000
Ta 0.0000 0.5000 0.0000
Ta 0.5000 0.0000 0.0000
P 0.5000 0.5000 0.5000
CELL_PARAMETERS angstrom
5.0702 0.0000 0.0000
0.0000 5.0702 0.0000
0.0000 0.0000 5.0702

***

! YTl, relaxed, DFT PBE; values from VASP
! Formation energy = 83 meV/atom
&SYSTEM
  ibrav = 0, nat = 8, ntyp = 2
/
ATOMIC_SPECIES
Y 88.91 Y.upf
Tl 204.38 Tl.upf
ATOMIC_POSITIONS crystal
Y 0.3333 0.6667 0.0938
Y 0.3333 0.6667 0.4062
Y 0.6667 0.3333 0.5938
Y 0.6667 0.3333 0.9062
Tl 0.0000 0.0000 0.2500
Tl 0.0000 0.0000 0.7500
Tl 0.3333 0.6667 0.7500
Tl 0.6667 0.3333 0.2500
CELL_PARAMETERS angstrom
5.2870 0.0000 0.0000
-2.6435 4.5787 0.0000
0.0000 0.0000 10.0816